Run a
The following is a PBE calculation of a geometry-optimized AcLaPt2 structure, from Alexandria via LeMat-Bulk.

Cell lengths 3.7269, 3.7269, 7.4325 Å; angles 90.00, 90.00, 90.00 degrees
Last column: nearest neighbours and their distance in Å.
Space group P4/mmm (No. 123)
Asymmetric unit:
Ac  0.0000  0.0000  0.0000 x1  8 Pt 3.29
La  0.0000  0.0000  0.5000 x1  8 Pt 3.16
Pt  0.5000  0.5000  0.2651 x2  4 La 3.16, 4 Ac 3.29, 1 Pt 3.49

density	12.16	g/cm³
Fermi-level density of states	2.52	states/eV/cell

Run b
The following is a PBE calculation of a geometry-optimized AcLaPt2 structure, from Alexandria via LeMat-Bulk.

Cell lengths 4.3273, 4.3273, 21.1485 Å; angles 90.00, 90.00, 120.00 degrees
Last column: nearest neighbours and their distance in Å.
Space group R-3m (No. 166, hexagonal axes)
Asymmetric unit:
Ac  0.0000  0.0000  0.0000 x3  6 Pt 3.09
La  0.0000  0.0000  0.5000 x3  6 Pt 3.02
Pt  0.0000  0.0000  0.2471 x6  3 La 3.02, 3 Ac 3.09

density	10.98	g/cm³
Fermi-level density of states	6.59	states/eV/cell

Run c
The following is a PBE calculation of a geometry-optimized AcLaPt2 structure, from Alexandria via LeMat-Bulk.

Cell lengths 4.2468, 4.2468, 22.1917 Å; angles 90.00, 90.00, 120.00 degrees
Last column: nearest neighbours and their distance in Å.
Space group R3m (No. 160, hexagonal axes)
Asymmetric unit:
Ac  0.0000  0.0000  0.0000 x3  6 Pt 3.08-3.15
La  0.0000  0.0000  0.1726 x3  6 Pt 2.98-3.08
Pt  0.0000  0.0000  0.5827 x3  3 La 2.98, 3 Ac 3.08
Pt  0.0000  0.0000  0.7555 x3  3 La 3.08, 3 Ac 3.15

density	10.87	g/cm³
Fermi-level density of states	4.98	states/eV/cell

Which of them is least stable? Easy: run a.

Run a
The following is a PBE calculation of a geometry-optimized AcLaPt2 structure, from Alexandria via LeMat-Bulk.

Cell lengths 4.0703, 4.6147, 6.0419 Å; angles 90.00, 109.53, 90.00 degrees
Last column: nearest neighbours and their distance in Å.
Space group Pm (No. 6)
Asymmetric unit:
Ac  0.0000  0.0000  0.0000 x1  7 Pt 3.10-3.31
La  0.7294  0.5000  0.4620 x1  7 Pt 3.11-3.28
Pt  0.2707  0.0000  0.5438 x1  3 Ac 3.10-3.31, 4 La 3.11, 2 Pt 3.11
Pt  0.4554  0.5000  0.9110 x1  2 Pt 3.11, 4 Ac 3.12, 3 La 3.14-3.28

density	11.74	g/cm³
Fermi-level density of states	2.53	states/eV/cell

Run b
The following is a PBE calculation of a geometry-optimized AcLaPt2 structure, from Alexandria via LeMat-Bulk.

Cell lengths 7.4454, 7.4454, 7.4454 Å; angles 90.00, 90.00, 90.00 degrees
Last column: nearest neighbours and their distance in Å.
Space group Fm-3m (No. 225)
Asymmetric unit:
Ac  0.0000  0.0000  0.0000 x4  8 Pt 3.22
La  0.0000  0.0000  0.5000 x4  8 Pt 3.22
Pt  0.2500  0.2500  0.2500 x8  4 Ac 3.22, 4 La 3.22

density	12.17	g/cm³
Fermi-level density of states	15.10	states/eV/cell

Which of them is least stable? Easy: run b.

Run a
The following is a PBE calculation of a geometry-optimized AcLa3Pt structure, from Alexandria via LeMat-Bulk.

Cell lengths 5.8137, 5.8137, 5.8137 Å; angles 90.00, 90.00, 90.00 degrees
Last column: nearest neighbours and their distance in Å.
Space group Pm-3m (No. 221)
Asymmetric unit:
Ac  0.0000  0.0000  0.0000 x1  12 La 4.11
La  0.0000  0.5000  0.5000 x3  2 Pt 2.91
Pt  0.5000  0.5000  0.5000 x1  6 La 2.91

density	7.09	g/cm³
Fermi-level density of states	11.90	states/eV/cell

Run b
The following is a PBE calculation of a geometry-optimized AcLa3Pt structure, from Alexandria via LeMat-Bulk.

Cell lengths 8.1469, 7.0295, 6.5707 Å; angles 90.00, 90.00, 90.00 degrees
Last column: nearest neighbours and their distance in Å.
Space group Pmn2_1 (No. 31)
Asymmetric unit:
Ac  0.0000  0.1534  0.0000 x2  1 Pt 3.07
La  0.0000  0.8515  0.4733 x2  1 Pt 2.93
La  0.2473  0.3193  0.4927 x4  2 Pt 2.90-2.92
Pt  0.0000  0.5150  0.7369 x2  5 La 2.90-2.93, 1 Ac 3.07

density	7.40	g/cm³
Fermi-level density of states	14.53	states/eV/cell

Which of them is least stable? Easy: run a.

Run a
The following is a PBE calculation of a geometry-optimized AcLaZnPt structure, from Alexandria via LeMat-Bulk.

Cell lengths 4.5441, 4.2270, 11.5412 Å; angles 90.00, 90.00, 90.00 degrees
Last column: nearest neighbours and their distance in Å.
Space group Amm2 (No. 38)
Asymmetric unit:
Ac  0.0000  0.0000  0.0000 x2  4 Zn 3.22, 3 Pt 3.26-3.28
La  0.5000  0.0000  0.7211 x2  3 Zn 3.17-3.41, 4 Pt 3.18
Zn  0.5000  0.0000  0.4256 x2  2 Pt 2.81
Pt  0.0000  0.0000  0.2826 x2  2 Zn 2.81

density	9.38	g/cm³
Fermi-level density of states	7.13	states/eV/cell

Run b
The following is a PBE calculation of a geometry-optimized AcLaZnPt structure, from Alexandria via LeMat-Bulk.

Cell lengths 7.5484, 7.5484, 7.5484 Å; angles 90.00, 90.00, 90.00 degrees
Last column: nearest neighbours and their distance in Å.
Space group F-43m (No. 216)
Asymmetric unit:
Ac  0.0000  0.0000  0.0000 x4  4 Pt 3.27, 4 Zn 3.27
La  0.0000  0.0000  0.5000 x4  4 Pt 3.27, 4 Zn 3.27
Zn  0.2500  0.2500  0.7500 x4  4 Ac 3.27, 4 La 3.27
Pt  0.2500  0.2500  0.2500 x4  4 Ac 3.27, 4 La 3.27

density	9.67	g/cm³
Fermi-level density of states	12.95	states/eV/cell

Which of them is least stable? Easy: run b.

Run a
The following is a PBE calculation of a geometry-optimized Ac2LaRh structure, from Alexandria via LeMat-Bulk.

Cell lengths 4.3301, 5.7093, 12.4259 Å; angles 90.00, 90.00, 90.00 degrees
Last column: nearest neighbours and their distance in Å.
Space group Immm (No. 71)
Asymmetric unit:
Ac  0.0000  0.0000  0.1643 x4  2 Rh 2.98
La  0.0000  0.0000  0.5000 x2  2 Rh 2.85
Rh  0.0000  0.5000  0.5000 x2  2 La 2.85, 4 Ac 2.98

density	7.52	g/cm³
Fermi-level density of states	11.58	states/eV/cell

Run b
The following is a PBE calculation of a geometry-optimized Ac2LaRh structure, from Alexandria via LeMat-Bulk.

Cell lengths 7.6198, 10.5933, 6.8331 Å; angles 90.00, 90.00, 90.00 degrees
Last column: nearest neighbours and their distance in Å.
Space group Pnma (No. 62)
Asymmetric unit:
Ac  0.1724  0.0701  0.1725 x8  2 Rh 3.10-3.12
La  0.0437  0.2500  0.6641 x4  2 Rh 2.86-2.92
Rh  0.1306  0.7500  0.9550 x4  2 La 2.86-2.92, 4 Ac 3.10-3.12

density	8.38	g/cm³
Fermi-level density of states	18.74	states/eV/cell

Run c
The following is a PBE calculation of a geometry-optimized Ac2LaRh structure, from Alexandria via LeMat-Bulk.

Cell lengths 3.7932, 3.7932, 9.3994 Å; angles 90.00, 90.00, 90.00 degrees
Last column: nearest neighbours and their distance in Å.
Space group P4/mmm (No. 123)
Asymmetric unit:
Ac  0.0000  0.0000  0.1871 x2  4 Rh 3.21, 1 Ac 3.52
La  0.5000  0.5000  0.5000 x1  4 La 3.79, 8 Ac 3.98
Rh  0.5000  0.5000  0.0000 x1  8 Ac 3.21

density	8.54	g/cm³
Fermi-level density of states	5.69	states/eV/cell

Run d
The following is a PBE calculation of a geometry-optimized Ac2LaRh structure, from Alexandria via LeMat-Bulk.

Cell lengths 4.0684, 4.0684, 33.1925 Å; angles 90.00, 90.00, 120.00 degrees
Last column: nearest neighbours and their distance in Å.
Space group R-3m (No. 166, hexagonal axes)
Asymmetric unit:
Ac  0.0000  0.0000  0.1138 x6  3 Rh 2.93
La  0.0000  0.0000  0.0000 x3  2 Ac 3.78, 6 La 4.07
Rh  0.0000  0.0000  0.5000 x3  6 Ac 2.93

density	7.29	g/cm³
Fermi-level density of states	17.90	states/eV/cell

Which of them is least stable? Easy: run d.

Run a
The following is a PBE calculation of a geometry-optimized Ac3LaRh structure, from Alexandria via LeMat-Bulk.

Cell lengths 5.8780, 5.8780, 5.8780 Å; angles 90.00, 90.00, 90.00 degrees
Last column: nearest neighbours and their distance in Å.
Space group Pm-3m (No. 221)
Asymmetric unit:
Ac  0.0000  0.0000  0.5000 x3  2 Rh 2.94
La  0.5000  0.5000  0.5000 x1  12 Ac 4.16
Rh  0.0000  0.0000  0.0000 x1  6 Ac 2.94

density	7.55	g/cm³
Fermi-level density of states	8.55	states/eV/cell

Run b
The following is a PBE calculation of a geometry-optimized Ac3LaRh structure, from Alexandria via LeMat-Bulk.

Cell lengths 11.1006, 6.6356, 11.5775 Å; angles 90.00, 118.64, 90.00 degrees
Last column: nearest neighbours and their distance in Å.
Space group P2_1/c (No. 14)
Asymmetric unit:
Ac  0.0237  0.1106  0.1526 x4  2 Rh 2.91-3.10
Ac  0.2021  0.0249  0.5207 x4  1 Rh 2.87
Ac  0.3937  0.5600  0.7709 x4  1 Rh 3.29
La  0.3273  0.0365  0.9015 x4  1 Rh 2.75
Rh  0.1191  0.6655  0.1942 x4  1 La 2.75, 2 Ac 2.87-2.91

density	8.19	g/cm³
Fermi-level density of states	24.87	states/eV/cell

Which of them is least stable? Easy: run a.

Run a
The following is a PBE calculation of a geometry-optimized AcLaRh2 structure, from Alexandria via LeMat-Bulk.

Cell lengths 4.2113, 4.2113, 20.4751 Å; angles 90.00, 90.00, 120.00 degrees
Last column: nearest neighbours and their distance in Å.
Space group R-3m (No. 166, hexagonal axes)
Asymmetric unit:
Ac  0.0000  0.0000  0.0000 x3  6 Rh 3.02
La  0.0000  0.0000  0.5000 x3  6 Rh 2.92
Rh  0.0000  0.0000  0.2455 x6  3 La 2.92, 3 Ac 3.02

density	9.06	g/cm³
Fermi-level density of states	1.24	states/eV/cell

Run b
The following is a PBE calculation of a geometry-optimized AcLaRh2 structure, from Alexandria via LeMat-Bulk.

Cell lengths 4.1284, 4.1284, 21.7085 Å; angles 90.00, 90.00, 120.00 degrees
Last column: nearest neighbours and their distance in Å.
Space group R3m (No. 160, hexagonal axes)
Asymmetric unit:
Ac  0.0000  0.0000  0.0000 x3  6 Rh 2.99-3.04
La  0.0000  0.0000  0.1713 x3  6 Rh 2.94-3.00
Rh  0.0000  0.0000  0.5838 x3  3 La 2.94, 3 Ac 2.99
Rh  0.0000  0.0000  0.7537 x3  3 La 3.00, 3 Ac 3.04

density	8.89	g/cm³
Fermi-level density of states	2.08	states/eV/cell

Which of them is least stable? Easy: run b.

Run a
The following is a PBE calculation of a geometry-optimized Ac2LaRh2 structure, from Alexandria via LeMat-Bulk.

Cell lengths 13.5689, 6.0568, 8.4959 Å; angles 90.00, 111.17, 90.00 degrees
Last column: nearest neighbours and their distance in Å.
Space group C2/m (No. 12)
Asymmetric unit:
Ac  0.0074  0.0000  0.2436 x4  4 Rh 2.97-3.10
Ac  0.1660  0.5000  0.0816 x4  5 Rh 3.03-3.11
La  0.1562  0.5000  0.5942 x4  3 Rh 2.72-2.89
Rh  0.0122  0.5000  0.2735 x4  2 La 2.72-2.89, 2 Ac 3.04
Rh  0.1783  0.0000  0.1024 x4  1 La 2.74, 4 Ac 2.97-3.05

density	8.15	g/cm³
Fermi-level density of states	11.89	states/eV/cell

Run b
The following is a PBE calculation of a geometry-optimized Ac2LaRh2 structure, from Alexandria via LeMat-Bulk.

Cell lengths 6.1952, 4.3965, 11.2590 Å; angles 90.00, 95.57, 90.00 degrees
Last column: nearest neighbours and their distance in Å.
Space group P2_1/m (No. 11)
Asymmetric unit:
Ac  0.1105  0.2500  0.2846 x2  3 Rh 2.95-3.25
Ac  0.3700  0.2500  0.6233 x2  6 Rh 3.09-3.28
La  0.2731  0.2500  0.9616 x2  3 Rh 2.82-3.00
Rh  0.1521  0.7500  0.4601 x2  6 Ac 2.95-3.28, 2 Rh 3.09
Rh  0.3946  0.7500  0.8255 x2  3 La 2.82-3.00, 2 Ac 3.16

density	8.69	g/cm³
Fermi-level density of states	7.69	states/eV/cell

Which of them is least stable? Easy: run b.

Run a
The following is a PBE calculation of a geometry-optimized AcLaZnRh structure, from Alexandria via LeMat-Bulk.

Cell lengths 7.4725, 7.4725, 7.4725 Å; angles 90.00, 90.00, 90.00 degrees
Last column: nearest neighbours and their distance in Å.
Space group F-43m (No. 216)
Asymmetric unit:
Ac  0.0000  0.0000  0.0000 x4  4 Rh 3.24, 4 Zn 3.24
La  0.0000  0.0000  0.5000 x4  4 Zn 3.24, 4 Rh 3.24
Zn  0.2500  0.2500  0.2500 x4  4 Ac 3.24, 4 La 3.24
Rh  0.2500  0.2500  0.7500 x4  4 Ac 3.24, 4 La 3.24

density	8.50	g/cm³
Fermi-level density of states	10.75	states/eV/cell

Run b
The following is a PBE calculation of a geometry-optimized AcLaZnRh structure, from Alexandria via LeMat-Bulk.

Cell lengths 4.4766, 4.2861, 11.3018 Å; angles 90.00, 90.00, 90.00 degrees
Last column: nearest neighbours and their distance in Å.
Space group Amm2 (No. 38)
Asymmetric unit:
Ac  0.0000  0.0000  0.0000 x2  3 Rh 3.20-3.26, 4 Zn 3.23
La  0.5000  0.0000  0.7220 x2  3 Zn 3.10-3.41, 4 Rh 3.17
Zn  0.5000  0.0000  0.4206 x2  2 Rh 2.73
Rh  0.0000  0.0000  0.2829 x2  2 Zn 2.73

density	8.18	g/cm³
Fermi-level density of states	7.75	states/eV/cell

Which of them is least stable? Easy: run a.

Run a
The following is a PBE calculation of a geometry-optimized AcLaRu structure, from Alexandria via LeMat-Bulk.

Cell lengths 4.2428, 4.2428, 6.6267 Å; angles 90.00, 90.00, 120.00 degrees
Last column: nearest neighbours and their distance in Å.
Space group P3m1 (No. 156)
Asymmetric unit:
Ac  0.0000  0.0000  0.0000 x1  3 Ru 2.96
La  0.3333  0.6667  0.5392 x1  3 Ru 2.82
Ru  0.6667  0.3333  0.7502 x1  3 La 2.82, 3 Ac 2.96

density	7.51	g/cm³
Fermi-level density of states	0.98	states/eV/cell

Run b
The following is a PBE calculation of a geometry-optimized AcLaRu structure, from Alexandria via LeMat-Bulk.

Cell lengths 7.2016, 7.2016, 7.2016 Å; angles 90.00, 90.00, 90.00 degrees
Last column: nearest neighbours and their distance in Å.
Space group F-43m (No. 216)
Asymmetric unit:
Ac  0.0000  0.0000  0.0000 x4  4 Ru 3.12
La  0.0000  0.0000  0.5000 x4  4 Ru 3.12
Ru  0.2500  0.2500  0.2500 x4  4 Ac 3.12, 4 La 3.12

density	8.30	g/cm³
Fermi-level density of states	9.59	states/eV/cell

Run c
The following is a PBE calculation of a geometry-optimized AcLaRu structure, from Alexandria via LeMat-Bulk.

Cell lengths 3.6392, 3.6392, 14.2389 Å; angles 90.00, 90.00, 90.00 degrees
Last column: nearest neighbours and their distance in Å.
Space group I4mm (No. 107)
Asymmetric unit:
Ac  0.0000  0.0000  0.0000 x2  4 Ru 3.17, 1 La 3.47
La  0.0000  0.0000  0.7564 x2  4 Ru 3.04
Ru  0.0000  0.0000  0.3705 x2  4 La 3.04, 4 Ac 3.17

density	8.22	g/cm³
Fermi-level density of states	4.64	states/eV/cell

Which of them is least stable? Easy: run c.

Run a
The following is a PBE calculation of a geometry-optimized AcLa2Ru structure, from Alexandria via LeMat-Bulk.

Cell lengths 3.6472, 3.6472, 9.6883 Å; angles 90.00, 90.00, 90.00 degrees
Last column: nearest neighbours and their distance in Å.
Space group P4/mmm (No. 123)
Asymmetric unit:
Ac  0.0000  0.0000  0.0000 x1  4 Ac 3.65, 8 La 4.08
La  0.5000  0.5000  0.3267 x2  4 Ru 3.08, 1 La 3.36
Ru  0.0000  0.0000  0.5000 x1  8 La 3.08

density	7.81	g/cm³
Fermi-level density of states	3.77	states/eV/cell

Run b
The following is a PBE calculation of a geometry-optimized AcLa2Ru structure, from Alexandria via LeMat-Bulk.

Cell lengths 4.1132, 4.1132, 29.0508 Å; angles 90.00, 90.00, 120.00 degrees
Last column: nearest neighbours and their distance in Å.
Space group R3m (No. 160, hexagonal axes)
Asymmetric unit:
Ac  0.0000  0.0000  0.0000 x3  6 La 4.04-4.08, 6 Ac 4.11
La  0.0000  0.0000  0.5523 x3  3 Ru 2.85
La  0.0000  0.0000  0.7794 x3  3 Ru 2.81
Ru  0.0000  0.0000  0.1646 x3  6 La 2.81-2.85

density	7.09	g/cm³
Fermi-level density of states	11.87	states/eV/cell

Which of them is least stable? Easy: run a.